# CoAsIr2

An optimized crystal structure of CoAsIr2 (PBE, the Alexandria database).

Structure (POSCAR):
```
CoAsIr2
1.0
0.000 3.071 3.071
3.071 0.000 3.071
3.071 3.071 0.000
Co As Ir
1 1 2
Direct
0.000 0.000 0.000
0.750 0.750 0.750
0.250 0.250 0.250
0.500 0.500 0.500
```

D(E_F)	6.99	states/eV/cell
uncorrected energy	-7.002	eV/atom
formation enthalpy at 0 K	368	meV/atom
SG	F-43m, No. 216